# KSr3 (PBEsol, relaxed)
# Energy of formation from the pure elements, meV per atom: 84
# Energy above the lowest structure with this stoichiometry, meV/atom: 34
# Size of the total moment, μB/f.u.: 0.00
data_KSr3
_cell_length_a 7.3378
_cell_length_b 13.9924
_cell_length_c 8.5976
_cell_angle_alpha 90.00
_cell_angle_beta 90.00
_cell_angle_gamma 90.00
_space_group_name_H-M_alt 'P n m a'
_space_group_IT_number 62
loop_
_space_group_symop_operation_xyz
'x,y,z'
'-x,-y,-z'
'-x+1/2,-y,z+1/2'
'x+1/2,y,-z+1/2'
'x+1/2,-y+1/2,-z+1/2'
'-x+1/2,y+1/2,z+1/2'
'-x,y+1/2,-z'
'x,-y+1/2,z'
loop_
_atom_site_label
_atom_site_fract_x
_atom_site_fract_y
_atom_site_fract_z
K1 0.0869 0.2500 0.1287
Sr1 0.0915 0.2500 0.6314
Sr2 0.2484 0.5032 0.3765

=====

# Al2AuBr (PBEsol, relaxed)
# Energy above the lowest structure with this stoichiometry, meV/atom: 0
# Size of the total moment, μB/f.u.: 0.00
# Raw formation energy, eV/atom: -0.19
data_Al2AuBr
_cell_length_a 3.2602
_cell_length_b 4.4186
_cell_length_c 5.3445
_cell_angle_alpha 90.00
_cell_angle_beta 90.00
_cell_angle_gamma 90.00
_space_group_name_H-M_alt 'P m m m'
_space_group_IT_number 47
loop_
_space_group_symop_operation_xyz
'x,y,z'
'-x,-y,-z'
'-x,-y,z'
'x,y,-z'
'x,-y,-z'
'-x,y,z'
'-x,y,-z'
'x,-y,z'
loop_
_atom_site_label
_atom_site_fract_x
_atom_site_fract_y
_atom_site_fract_z
Al1 0.0000 0.0000 0.0000
Al2 0.5000 0.5000 0.5000
Au1 0.0000 0.0000 0.5000
Br1 0.5000 0.5000 0.0000

=====

# TlWAu (PBEsol, relaxed)
# Energy of formation from the pure elements, meV per atom: 928
# Energy above the lowest structure with this stoichiometry, meV/atom: 0
# Size of the total moment, μB/f.u.: 0.00
data_TlWAu
_cell_length_a 4.6828
_cell_length_b 4.6828
_cell_length_c 2.8691
_cell_angle_alpha 90.00
_cell_angle_beta 90.00
_cell_angle_gamma 120.00
_space_group_name_H-M_alt 'P 3 m 1'
_space_group_IT_number 156
loop_
_space_group_symop_operation_xyz
'x,y,z'
'-y,x-y,z'
'-x+y,-x,z'
'-y,-x,z'
'-x+y,y,z'
'x,x-y,z'
loop_
_atom_site_label
_atom_site_fract_x
_atom_site_fract_y
_atom_site_fract_z
Tl1 0.0000 0.0000 0.0000
W1 0.6667 0.3333 0.4561
Au1 0.3333 0.6667 0.9101

=====

# ScSi2Tc2 (PBEsol, relaxed)
# Size of the total moment, μB/f.u.: 0.00
# Raw formation energy, eV/atom: -0.61
data_ScSi2Tc2
_cell_length_a 6.9298
_cell_length_b 6.9298
_cell_length_c 2.9931
_cell_angle_alpha 90.00
_cell_angle_beta 90.00
_cell_angle_gamma 90.00
_space_group_name_H-M_alt 'P 4/m b m'
_space_group_IT_number 127
_space_group_name_Hall '-P 4 2ab'
loop_
_atom_site_label
_atom_site_fract_x
_atom_site_fract_y
_atom_site_fract_z
Sc1 0.0000 0.0000 0.0000
Si1 0.1346 0.3654 0.0000
Tc1 0.1549 0.6549 0.5000

=====

# PdS3N (PBEsol, relaxed)
# Energy above the lowest structure with this stoichiometry, meV/atom: 665
# Size of the total moment, μB/f.u.: 0.66
# Raw formation energy, eV/atom: 1.67
data_PdS3N
_cell_length_a 4.6431
_cell_length_b 4.6431
_cell_length_c 4.6431
_cell_angle_alpha 90.00
_cell_angle_beta 90.00
_cell_angle_gamma 90.00
_space_group_name_H-M_alt 'P m -3 m'
_space_group_IT_number 221
_space_group_name_Hall '-P 4 2 3'
loop_
_atom_site_label
_atom_site_fract_x
_atom_site_fract_y
_atom_site_fract_z
Pd1 0.0000 0.0000 0.0000
S1 0.0000 0.0000 0.5000
N1 0.5000 0.5000 0.5000

=====

# SrCoO2 (PBEsol, relaxed)
# Size of the total moment, μB/f.u.: 3.01
# Raw formation energy, eV/atom: -1.11
data_SrCoO2
_cell_length_a 5.7298
_cell_length_b 5.7298
_cell_length_c 5.7298
_cell_angle_alpha 90.00
_cell_angle_beta 90.00
_cell_angle_gamma 90.00
_space_group_name_H-M_alt 'F m -3 m'
_space_group_IT_number 225
_space_group_name_Hall '-F 4 2 3'
loop_
_atom_site_label
_atom_site_fract_x
_atom_site_fract_y
_atom_site_fract_z
Sr1 0.0000 0.0000 0.0000
Co1 0.0000 0.0000 0.5000
O1 0.2500 0.2500 0.2500

=====

# NaLuTiO4 (PBEsol, relaxed)
# Size of the total moment, μB/f.u.: 0.00
# Raw formation energy, eV/atom: -3.04
data_NaLuTiO4
_cell_length_a 12.0546
_cell_length_b 5.3697
_cell_length_c 5.2067
_cell_angle_alpha 90.00
_cell_angle_beta 90.00
_cell_angle_gamma 90.00
_space_group_name_H-M_alt 'P b c m'
_space_group_IT_number 57
loop_
_space_group_symop_operation_xyz
'x,y,z'
'-x,-y,-z'
'-x,-y,z+1/2'
'x,y,-z+1/2'
'x,-y+1/2,-z'
'-x,y+1/2,z'
'-x,y+1/2,-z+1/2'
'x,-y+1/2,z+1/2'
loop_
_atom_site_label
_atom_site_fract_x
_atom_site_fract_y
_atom_site_fract_z
Na1 0.0876 0.0062 0.2500
Lu1 0.3955 0.0301 0.2500
Ti1 0.2446 0.5110 0.2500
O1 0.1007 0.5567 0.2500
O2 0.2607 0.2500 0.0000
O3 0.3014 0.7500 0.0000
O4 0.4393 0.0832 0.7500

=====

# ZnTeRu2O (PBEsol, relaxed)
# Size of the total moment, μB/f.u.: 0.00
# Raw formation energy, eV/atom: 0.49
data_ZnTeRu2O
_cell_length_a 4.0599
_cell_length_b 4.0599
_cell_length_c 4.5015
_cell_angle_alpha 90.00
_cell_angle_beta 90.00
_cell_angle_gamma 90.00
_space_group_name_H-M_alt 'P 4/m m m'
_space_group_IT_number 123
_space_group_name_Hall '-P 4 2'
loop_
_atom_site_label
_atom_site_fract_x
_atom_site_fract_y
_atom_site_fract_z
Zn1 0.0000 0.0000 0.0000
Te1 0.5000 0.5000 0.0000
Ru1 0.0000 0.5000 0.5000
O1 0.5000 0.5000 0.5000